A plane-wave DFT calculation with GGA+U was carried out for a relaxed Sr3VB2O8 crystal.

Cell lengths 5.239, 5.239, 6.799 Å; angles 90.00, 90.00, 120.00 degrees
Positions (direct):
Sr (0.000, 0.000, 0.000)
Sr (0.333, 0.667, 0.688)
Sr (0.667, 0.333, 0.312)
V (0.000, 0.000, 0.500)
B (0.333, 0.667, 0.241)
B (0.667, 0.333, 0.759)
O (0.176, 0.352, 0.328)
O (0.176, 0.824, 0.328)
O (0.333, 0.667, 0.037)
O (0.352, 0.176, 0.672)
O (0.648, 0.824, 0.328)
O (0.667, 0.333, 0.963)
O (0.824, 0.176, 0.672)
O (0.824, 0.648, 0.672)

Calculated values
**Total energy**: -101.22 eV for the cell shown
**Spin magnetization**: 1.0 μB/f.u.